# Pr3Nd13 PBE relaxed
# energy of formation from the pure elements: 0.031 eV per atom
data_Pr3Nd13
_chemical_formula_sum 'Pr6 Nd26'
_space_group_name_H-M_alt 'A m m 2'
_space_group_IT_number 38
_space_group_name_Hall 'A 2 -2'
_cell_length_a 7.4239
_cell_length_b 11.9896
_cell_length_c 12.8414
_cell_angle_alpha 90.00
_cell_angle_beta 90.00
_cell_angle_gamma 90.00
loop_
_atom_site_label
_atom_site_type_symbol
_atom_site_fract_x
_atom_site_fract_y
_atom_site_fract_z
_atom_site_occupancy
Pr1 Pr 0.0000 0.0000 0.0000 1
Pr2 Pr 0.2503 0.0000 0.7492 1
Nd1 Nd 0.0000 0.0000 0.4993 1
Nd2 Nd 0.0000 0.2497 0.1666 1
Nd3 Nd 0.2501 0.0000 0.2500 1
Nd4 Nd 0.2503 0.2494 0.4165 1
Nd5 Nd 0.5000 0.0000 0.0000 1
Nd6 Nd 0.5000 0.0000 0.4993 1
Nd7 Nd 0.5000 0.2491 0.1664 1